1.
Here is crystalline ScZn2Ni2 at its relaxed geometry from the Alexandria database. Energies are from PBE-GGA.

Results
crystal system: tetragonal
ΔE to the lowest computed polymorph: 0.072 eV/atom
energy of formation from the pure elements: -0.282 eV/atom

a = 6.1732 Å, b = 6.1732 Å, c = 6.1732 Å
α = 145.46°, β = 145.46°, γ = 49.64°
With the nearest neighbours (Å) after each atom.
Element x y z (fractional)
Sc: 0.0000 0.0000 0.0000  8 Ni 2.83
Zn: 0.2500 0.7500 0.5000  4 Ni 2.47, 4 Zn 2.59
Zn: 0.7500 0.2500 0.5000  4 Ni 2.47, 4 Zn 2.59
Ni: 0.3982 0.3982 0.0000  1 Ni 2.28, 4 Zn 2.47
Ni: 0.6018 0.6018 0.0000  1 Ni 2.28, 4 Zn 2.47

2.
Here is crystalline Er2BeZn2Ni5 at its relaxed geometry from the Alexandria database. Energies are from PBE-GGA.

Results
crystal system: tetragonal
energy of formation from the pure elements: -0.217 eV/atom

a = 9.3485 Å, b = 9.3485 Å, c = 3.3012 Å
α = 90.00°, β = 90.00°, γ = 90.00°
With the nearest neighbours (Å) after each atom.
Element x y z (fractional)
Er: 0.1730 0.3270 0.0000  3 Zn 2.64-2.84, 2 Ni 2.82
Er: 0.3270 0.8270 0.0000  3 Zn 2.64-2.84, 2 Ni 2.82
Er: 0.6730 0.1730 0.0000  3 Zn 2.64-2.84, 2 Ni 2.82
Er: 0.8270 0.6730 0.0000  3 Zn 2.64-2.84, 2 Ni 2.82
Be: 0.0000 0.0000 0.0000  8 Ni 2.45
Be: 0.5000 0.5000 0.0000  8 Ni 2.45
Zn: 0.1274 0.6274 0.0000  6 Ni 2.36-2.50, 1 Er 2.64
Zn: 0.3726 0.1274 0.0000  6 Ni 2.36-2.50, 1 Er 2.64
Zn: 0.6274 0.8726 0.0000  6 Ni 2.36-2.50, 1 Er 2.64
Zn: 0.8726 0.3726 0.0000  6 Ni 2.36-2.50, 1 Er 2.64
Ni: 0.0000 0.5000 0.5000  4 Zn 2.36
Ni: 0.0536 0.8138 0.5000  2 Be 2.45, 2 Zn 2.50, 2 Ni 2.56
Ni: 0.1862 0.0536 0.5000  2 Be 2.45, 2 Zn 2.50, 2 Ni 2.56
Ni: 0.3138 0.5536 0.5000  2 Be 2.45, 2 Zn 2.50, 2 Ni 2.56
Ni: 0.4464 0.3138 0.5000  2 Be 2.45, 2 Zn 2.50, 2 Ni 2.56
Ni: 0.5000 0.0000 0.5000  4 Zn 2.36
Ni: 0.5536 0.6862 0.5000  2 Be 2.45, 2 Zn 2.50, 2 Ni 2.56
Ni: 0.6862 0.4464 0.5000  2 Be 2.45, 2 Zn 2.50, 2 Ni 2.56
Ni: 0.8138 0.9464 0.5000  2 Be 2.45, 2 Zn 2.50, 2 Ni 2.56
Ni: 0.9464 0.1862 0.5000  2 Be 2.45, 2 Zn 2.50, 2 Ni 2.56